# PBE-GGA BRuS, optimized geometry
# DFT total energy	-6.787	eV/atom
# formation energy (no corrections)	-0.09	eV per atom
# space-group type	P2_1/m (11)
# N(E_F)	0.133	states/eV/atom
data_BRuS
_chemical_formula_sum 'B2 Ru2 S2'
_symmetry_space_group_name_H-M 'P 1'
_symmetry_Int_Tables_number 1
_symmetry_space_group_name_Hall 'P 1'
_cell_length_a 2.8733
_cell_length_b 3.1500
_cell_length_c 9.8532
_cell_angle_alpha 90.00
_cell_angle_beta 97.08
_cell_angle_gamma 90.00
loop_
_atom_site_label
_atom_site_fract_x
_atom_site_fract_y
_atom_site_fract_z
B1 0.0194 0.2500 0.0461
B2 0.9806 0.7500 0.9539
Ru1 0.4460 0.2500 0.8722
Ru2 0.5540 0.7500 0.1278
S1 0.3699 0.7500 0.6922
S2 0.6301 0.2500 0.3078

# PBE-GGA B2RuS, optimized geometry
# DFT total energy	-6.327	eV/atom
# formation energy (no corrections)	0.36	eV per atom
# space-group type	I-42d (122)
# N(E_F)	0.198	states/eV/atom
data_B2RuS
_chemical_formula_sum 'B4 Ru2 S2'
_symmetry_space_group_name_H-M 'P 1'
_symmetry_Int_Tables_number 1
_symmetry_space_group_name_Hall 'P 1'
_cell_length_a 5.5614
_cell_length_b 5.5614
_cell_length_c 5.5614
_cell_angle_alpha 129.59
_cell_angle_beta 129.59
_cell_angle_gamma 74.06
loop_
_atom_site_label
_atom_site_fract_x
_atom_site_fract_y
_atom_site_fract_z
B1 0.1103 0.6250 0.9853
B2 0.3750 0.3603 0.4853
B3 0.6397 0.1250 0.0147
B4 0.8750 0.8897 0.5147
Ru1 0.2500 0.7500 0.5000
Ru2 0.5000 0.5000 0.0000
S1 0.0000 0.0000 0.0000
S2 0.7500 0.2500 0.5000

# PBE-GGA BRuS2, optimized geometry
# DFT total energy	-5.823	eV/atom
# formation energy (no corrections)	0.23	eV per atom
# space-group type	R-3m (166)
# N(E_F)	0.773	states/eV/atom
data_BRuS2
_chemical_formula_sum 'B1 Ru1 S2'
_symmetry_space_group_name_H-M 'P 1'
_symmetry_Int_Tables_number 1
_symmetry_space_group_name_Hall 'P 1'
_cell_length_a 6.1085
_cell_length_b 6.1085
_cell_length_c 6.1085
_cell_angle_alpha 35.14
_cell_angle_beta 35.14
_cell_angle_gamma 35.14
loop_
_atom_site_label
_atom_site_fract_x
_atom_site_fract_y
_atom_site_fract_z
B1 0.0000 0.0000 0.0000
Ru1 0.5000 0.5000 0.5000
S1 0.0998 0.0998 0.0998
S2 0.9002 0.9002 0.9002